A plane-wave DFT calculation with GGA+U was carried out for a relaxed structure of CuMoP2O.

Unit cell a=4.8360 b=4.8360 c=3.7608 alpha=90.00 beta=90.00 gamma=90.00
Fractional coordinates of all 5 atoms:
Cu 0.0000 0.0000 0.0000
Mo 0.5000 0.5000 0.5000
P 0.0000 0.5000 0.5000
P 0.5000 0.0000 0.5000
O 0.5000 0.5000 0.0000

Output
The size of the total moment is 0.52 μB/f.u. For the energy above the most stable polymorph in this dataset, the calculation gives 0 meV per atom.

***

A plane-wave DFT calculation with GGA+U was carried out for a relaxed structure of PaCuMoO5.

Unit cell a=5.6265 b=5.6265 c=8.0664 alpha=105.18 beta=105.18 gamma=104.19
Fractional coordinates of all 16 atoms:
Pa 0.0000 0.0000 0.0000
Pa 0.0000 0.0000 0.5000
Cu 0.3207 0.6793 0.7500
Cu 0.6793 0.3207 0.2500
Mo 0.3697 0.6303 0.2500
Mo 0.6303 0.3697 0.7500
O 0.0053 0.3398 0.1906
O 0.1381 0.8619 0.2500
O 0.3161 0.3651 0.5592
O 0.3398 0.0053 0.6906
O 0.3651 0.3161 0.0592
O 0.6349 0.6839 0.9408
O 0.6602 0.9947 0.3094
O 0.6839 0.6349 0.4408
O 0.8619 0.1381 0.7500
O 0.9947 0.6602 0.8094

Output
The size of the total moment is 1.95 μB/f.u. The calculation puts the total DFT energy (no corrections) at -7.70 eV per atom.

***

A plane-wave DFT calculation with GGA+U was carried out for a relaxed structure of Pa2CuMoO8.

Unit cell a=6.5670 b=6.5670 c=6.5670 alpha=133.01 beta=133.01 gamma=68.65
Fractional coordinates of all 12 atoms:
Pa 0.0000 0.0000 0.0000
Pa 0.7500 0.2500 0.5000
Cu 0.5000 0.5000 0.0000
Mo 0.2500 0.7500 0.5000
O 0.0921 0.0433 0.4439
O 0.1313 0.6073 0.9427
O 0.3519 0.9079 0.9513
O 0.3927 0.3354 0.5241
O 0.5994 0.6481 0.5561
O 0.6646 0.1886 0.0573
O 0.8114 0.8687 0.4759
O 0.9567 0.4006 0.0487

Output
The size of the total moment is 1.00 μB/f.u. The calculation puts the total DFT energy (no corrections) at -8.33 eV per atom.

***

A plane-wave DFT calculation with GGA+U was carried out for a relaxed structure of CuMoPbO5.

Unit cell a=6.2586 b=6.2586 c=8.5773 alpha=110.43 beta=110.43 gamma=87.94
Fractional coordinates of all 16 atoms:
Cu 0.1982 0.8018 0.7500
Cu 0.8018 0.1982 0.2500
Mo 0.1065 0.8935 0.2500
Mo 0.8935 0.1065 0.7500
Pb 0.5000 0.5000 0.0000
Pb 0.5000 0.5000 0.5000
O 0.1549 0.2075 0.3304
O 0.2075 0.1549 0.8304
O 0.2093 0.7608 0.0725
O 0.2392 0.7907 0.4275
O 0.4090 0.5910 0.7500
O 0.5910 0.4090 0.2500
O 0.7608 0.2093 0.5725
O 0.7907 0.2392 0.9275
O 0.7925 0.8451 0.1696
O 0.8451 0.7925 0.6696

Output
The size of the total moment is 0.32 μB/f.u. The calculation puts the total DFT energy (no corrections) at -6.09 eV per atom.

***

A plane-wave DFT calculation with GGA+U was carried out for a relaxed structure of CuMo2PdO8.

Unit cell a=5.8969 b=5.8969 c=5.8969 alpha=110.08 beta=110.08 gamma=108.25
Fractional coordinates of all 12 atoms:
Cu 0.0000 0.0000 0.0000
Mo 0.2500 0.7500 0.5000
Mo 0.5000 0.5000 0.0000
Pd 0.7500 0.2500 0.5000
O 0.0998 0.3813 0.2815
O 0.0998 0.8183 0.7185
O 0.1287 0.3391 0.7896
O 0.1817 0.9002 0.2815
O 0.5494 0.3391 0.2104
O 0.6187 0.9002 0.7185
O 0.6609 0.4506 0.7896
O 0.6609 0.8713 0.2104

Output
The size of the total moment is 1.02 μB/f.u. The calculation puts the total DFT energy (no corrections) at -6.20 eV per atom.

***

A plane-wave DFT calculation with GGA+U was carried out for a relaxed structure of PmCuMo2O8.

Unit cell a=6.1839 b=6.1839 c=6.1839 alpha=107.20 beta=107.20 gamma=114.13
Fractional coordinates of all 12 atoms:
Pm 0.0000 0.0000 0.0000
Cu 0.7500 0.2500 0.5000
Mo 0.2500 0.7500 0.5000
Mo 0.5000 0.5000 0.0000
O 0.0935 0.3970 0.3036
O 0.0935 0.7899 0.6964
O 0.1376 0.3295 0.8080
O 0.2101 0.9065 0.3036
O 0.5215 0.3295 0.1920
O 0.6030 0.9065 0.6964
O 0.6705 0.4785 0.8080
O 0.6705 0.8624 0.1920

Output
The size of the total moment is 0.07 μB/f.u. The calculation puts the total DFT energy (no corrections) at -7.02 eV per atom.

***

A plane-wave DFT calculation with GGA+U was carried out for a relaxed structure of Pm2CuMoO6.

Unit cell a=5.2480 b=5.2480 c=5.2028 alpha=90.00 beta=90.00 gamma=90.00
Fractional coordinates of all 10 atoms:
Pm 0.0000 0.5000 0.0000
Pm 0.5000 0.0000 0.0000
Cu 0.0000 0.0000 0.5085
Mo 0.5000 0.5000 0.5764
O 0.0000 0.0000 0.1436
O 0.2595 0.2595 0.7305
O 0.2595 0.7405 0.7305
O 0.5000 0.5000 0.2126
O 0.7405 0.2595 0.7305
O 0.7405 0.7405 0.7305

Output
The size of the total moment is 0.88 μB/f.u. The calculation puts the total DFT energy (no corrections) at -7.21 eV per atom.

***

A plane-wave DFT calculation with GGA+U was carried out for a relaxed structure of PrCuMoO5.

Unit cell a=6.2407 b=6.2407 c=8.8090 alpha=111.51 beta=111.51 gamma=86.54
Fractional coordinates of all 16 atoms:
Pr 0.0000 0.0000 0.0000
Pr 0.0000 0.0000 0.5000
Cu 0.3053 0.6947 0.7500
Cu 0.6947 0.3053 0.2500
Mo 0.3921 0.6079 0.2500
Mo 0.6079 0.3921 0.7500
O 0.0886 0.9114 0.7500
O 0.2521 0.7091 0.0750
O 0.2909 0.7479 0.4250
O 0.2929 0.3341 0.6685
O 0.3341 0.2929 0.1685
O 0.6659 0.7071 0.8315
O 0.7071 0.6659 0.3315
O 0.7091 0.2521 0.5750
O 0.7479 0.2909 0.9250
O 0.9114 0.0886 0.2500

Output
The size of the total moment is 0.04 μB/f.u. The calculation puts the total DFT energy (no corrections) at -6.97 eV per atom.

***

- Which of these has the highest size of the total moment?
  PaCuMoO5

***

Please write out number 5 again, unchanged.
A plane-wave DFT calculation with GGA+U was carried out for a relaxed structure of CuMo2PdO8.

Unit cell a=5.8969 b=5.8969 c=5.8969 alpha=110.08 beta=110.08 gamma=108.25
Fractional coordinates of all 12 atoms:
Cu 0.0000 0.0000 0.0000
Mo 0.2500 0.7500 0.5000
Mo 0.5000 0.5000 0.0000
Pd 0.7500 0.2500 0.5000
O 0.0998 0.3813 0.2815
O 0.0998 0.8183 0.7185
O 0.1287 0.3391 0.7896
O 0.1817 0.9002 0.2815
O 0.5494 0.3391 0.2104
O 0.6187 0.9002 0.7185
O 0.6609 0.4506 0.7896
O 0.6609 0.8713 0.2104

Output
The size of the total moment is 1.02 μB/f.u. The calculation puts the total DFT energy (no corrections) at -6.20 eV per atom.

***

- What is the formula in the fourth record?
  CuMoPbO5

***

- Among the records above, which one has the lowest size of the total moment?
  PrCuMoO5